Entry from Alexandria: CrAgO4 after structural relaxation (PBE with a Hubbard U).

Geometry as POSCAR:
```
CrAgO4
1.0
-0.5838 7.8729 -4.6351
-3.5002 1.9046 3.6759
3.5804 3.8996 6.1726
Cr Ag O
4 4 16
direct
0.4871 0.8886 0.2769
0.9871 0.1114 0.2231
0.0129 0.8886 0.7769
0.5129 0.1114 0.7231
0.3127 0.4534 0.9457
0.8127 0.5466 0.5543
0.1873 0.4534 0.4457
0.6873 0.5466 0.0543
0.3499 0.7103 0.2551
0.3565 0.2739 0.6980
0.0586 0.9244 0.9837
0.9967 0.8059 0.3883
0.4967 0.1941 0.1117
0.5586 0.0756 0.5163
0.8565 0.7261 0.8020
0.1501 0.7103 0.7551
0.8499 0.2897 0.2449
0.1435 0.2739 0.1980
0.4414 0.9244 0.4837
0.5033 0.8059 0.8883
0.0033 0.1941 0.6117
0.9414 0.0756 0.0163
0.6435 0.7261 0.3020
0.6501 0.2897 0.7449
```

Summary:
DFT total energy: -5.75 eV/atom